Computed, not measured: a relaxed structure of NaFeNO2 at the PBE with a Hubbard U level of DFT.

Computed properties:
The value obtained for the total moment is 0.415 μB per atom. For the total energy, the calculation gives -5.268 eV per atom. Its space-group type is No. 123.

Unit cell a=3.8817 b=3.8817 c=3.8665 alpha=90.00 beta=90.00 gamma=90.00
Last column: nearest neighbours and their distance in Å.
Positions (direct):
1 Na 0.0000 0.0000 0.0000  8 O 2.74, 4 N 2.74
2 Fe 0.5000 0.5000 0.5000  2 N 1.93, 4 O 1.94
3 N 0.5000 0.5000 0.0000  2 Fe 1.93
4 O 0.0000 0.5000 0.5000  2 Fe 1.94
5 O 0.5000 0.0000 0.5000  2 Fe 1.94